Entry one
## AcDy2Pu (GGA-PBE)

Data for a geometry-optimized AcDy2Pu structure.

Results
* M_tot: 1.62 μB/atom

Geometry as POSCAR:
```
AcDy2Pu
1.0
5.094 0.000 0.000
0.000 5.094 0.000
0.000 0.000 5.153
Ac Dy Pu
1 2 1
Cartesian
0.000 0.000 0.000
0.000 2.547 2.577
2.547 0.000 2.577
2.547 2.547 0.000
```

Entry two
## AcDy2Pu (GGA-PBE)

Data for a geometry-optimized AcDy2Pu structure.

Results
* M_tot: 1.56 μB/atom

Geometry as POSCAR:
```
AcDy2Pu
1.0
1.824 1.053 11.710
-1.824 1.053 11.710
0.000 -2.106 11.710
Ac Dy Pu
1 2 1
Cartesian
0.000 0.000 0.000
0.000 0.000 20.286
0.000 0.000 26.506
0.000 0.000 5.814
```

How far above the most stable structure does each one sit? In eV/atom: entry one 0.026; entry two 0.000.

Entry one
## AcDy2Pu (GGA-PBE)

Data for a geometry-optimized AcDy2Pu structure.

Results
* M_tot: 1.50 μB/atom

Geometry as POSCAR:
```
AcDy2Pu
1.0
1.772 1.023 12.532
-1.772 1.023 12.532
0.000 -2.046 12.532
Ac Dy Pu
1 2 1
Cartesian
0.000 0.000 0.000
0.000 0.000 3.530
0.000 0.000 34.067
0.000 0.000 18.798
```

Entry two
## AcDy2Pu (GGA-PBE)

Data for a geometry-optimized AcDy2Pu structure.

Results
* M_tot: 1.64 μB/atom

Geometry as POSCAR:
```
AcDy2Pu
1.0
3.662 0.000 0.000
0.000 3.662 0.000
0.000 0.000 10.012
Ac Dy Pu
1 2 1
Cartesian
0.000 0.000 0.000
1.831 1.831 2.724
1.831 1.831 7.288
0.000 0.000 5.006
```

How far above the most stable structure does each one sit? In eV/atom: entry one 0.132; entry two 0.000.